No. 1
DFT (PBE-GGA) results for a relaxed RbZn2As2 crystal.

Cell: 8.310 8.310 3.156 Å, 90.00 90.00 90.00°
Positions (direct):
Rb1 0.000 0.000 0.000
Rb2 0.500 0.500 0.000
Zn1 0.120 0.380 0.000
Zn2 0.380 0.880 0.000
Zn3 0.620 0.120 0.000
Zn4 0.880 0.620 0.000
As1 0.158 0.658 0.500
As2 0.342 0.158 0.500
As3 0.658 0.842 0.500
As4 0.842 0.342 0.500

Summary:
For the energy of formation from the pure elements, the calculation gives 0.17 eV per formula unit. As for the total energy: -2.5293 eV per atom. As for the space-group type: P4/mbm, No. 127.


No. 2
DFT (PBE-GGA) results for a relaxed Rb2ZnAs crystal.

Cell: 8.414 8.414 8.414 Å, 90.00 90.00 90.00°
Positions (direct):
Rb1 0.250 0.250 0.250
Rb2 0.250 0.250 0.750
Rb3 0.250 0.750 0.250
Rb4 0.250 0.750 0.750
Rb5 0.750 0.250 0.250
Rb6 0.750 0.250 0.750
Rb7 0.750 0.750 0.250
Rb8 0.750 0.750 0.750
Zn1 0.000 0.000 0.000
Zn2 0.000 0.500 0.500
Zn3 0.500 0.000 0.500
Zn4 0.500 0.500 0.000
As1 0.000 0.000 0.500
As2 0.000 0.500 0.000
As3 0.500 0.000 0.000
As4 0.500 0.500 0.500

Summary:
For the energy of formation from the pure elements, the calculation gives 0.26 eV per formula unit. As for the total energy: -1.8998 eV per atom. As for the space-group type: Fm-3m, No. 225. Its polymorph energy (0 for the lowest one) is 0.2872 eV/atom.


No. 3
DFT (PBE-GGA) results for a relaxed RbZnAs2 crystal.

Cell: 5.412 5.412 16.878 Å, 90.00 90.00 90.00°
Positions (direct):
Rb1 0.000 0.250 0.375
Rb2 0.000 0.750 0.625
Rb3 0.500 0.250 0.125
Rb4 0.500 0.750 0.875
Zn1 0.000 0.250 0.875
Zn2 0.000 0.750 0.125
Zn3 0.500 0.250 0.625
Zn4 0.500 0.750 0.375
As1 0.000 0.000 0.000
As2 0.000 0.500 0.000
As3 0.250 0.250 0.750
As4 0.250 0.750 0.250
As5 0.500 0.000 0.500
As6 0.500 0.500 0.500
As7 0.750 0.250 0.750
As8 0.750 0.750 0.250

Summary:
For the energy of formation from the pure elements, the calculation gives -0.51 eV per formula unit. As for the total energy: -3.0132 eV per atom. As for the space-group type: I4_1/amd, No. 141.


No. 4
DFT (PBE-GGA) results for a relaxed RbZn2As crystal.

Cell: 5.291 5.291 17.708 Å, 90.00 90.00 90.00°
Positions (direct):
Rb1 0.000 0.250 0.375
Rb2 0.000 0.750 0.625
Rb3 0.500 0.250 0.125
Rb4 0.500 0.750 0.875
Zn1 0.000 0.000 0.000
Zn2 0.000 0.500 0.000
Zn3 0.250 0.250 0.750
Zn4 0.250 0.750 0.250
Zn5 0.500 0.000 0.500
Zn6 0.500 0.500 0.500
Zn7 0.750 0.250 0.750
Zn8 0.750 0.750 0.250
As1 0.000 0.250 0.875
As2 0.000 0.750 0.125
As3 0.500 0.250 0.625
As4 0.500 0.750 0.375

Summary:
For the energy of formation from the pure elements, the calculation gives -0.22 eV per formula unit. As for the total energy: -2.0953 eV per atom. As for the space-group type: I4_1/amd, No. 141.


No. 5
DFT (PBE-GGA) results for a relaxed RbZn3As2 crystal.

Cell: 8.406 8.406 10.100 Å, 117.99 117.99 28.50°
Positions (direct):
Rb1 0.136 0.136 0.048
Rb2 0.864 0.864 0.952
Zn1 0.095 0.095 0.416
Zn2 0.281 0.281 0.594
Zn3 0.417 0.417 0.319
Zn4 0.583 0.583 0.681
Zn5 0.719 0.719 0.406
Zn6 0.905 0.905 0.584
As1 0.169 0.169 0.704
As2 0.457 0.457 0.752
As3 0.543 0.543 0.248
As4 0.831 0.831 0.296

Summary:
For the energy of formation from the pure elements, the calculation gives -1.53 eV per formula unit. As for the total energy: -2.6028 eV per atom. As for the space-group type: C2/m, No. 12.


No. 6
DFT (PBE-GGA) results for a relaxed RbZnAs3 crystal.

Cell: 5.077 5.077 5.077 Å, 90.00 90.00 90.00°
Positions (direct):
Rb1 0.000 0.000 0.000
Zn1 0.500 0.500 0.500
As1 0.000 0.500 0.500
As2 0.500 0.000 0.500
As3 0.500 0.500 0.000

Summary:
For the energy of formation from the pure elements, the calculation gives 1.52 eV per formula unit. As for the total energy: -2.9337 eV per atom. As for the space-group type: Pm-3m, No. 221. Its polymorph energy (0 for the lowest one) is 0.0000 eV/atom.


No. 7
DFT (PBE-GGA) results for a relaxed RbZn2As crystal.

Cell: 4.616 4.616 18.687 Å, 90.00 90.00 120.00°
Positions (direct):
Rb1 0.000 0.000 0.000
Rb2 0.333 0.667 0.667
Rb3 0.667 0.333 0.333
Zn1 0.000 0.000 0.198
Zn2 0.000 0.000 0.802
Zn3 0.333 0.667 0.469
Zn4 0.333 0.667 0.864
Zn5 0.667 0.333 0.136
Zn6 0.667 0.333 0.531
As1 0.000 0.000 0.500
As2 0.333 0.667 0.167
As3 0.667 0.333 0.833

Summary:
For the energy of formation from the pure elements, the calculation gives -0.15 eV per formula unit. As for the total energy: -2.0776 eV per atom. As for the space-group type: R-3m, No. 166.


No. 8
DFT (PBE-GGA) results for a relaxed Rb2ZnAs crystal.

Cell: 6.545 6.088 7.665 Å, 90.00 103.42 90.00°
Positions (direct):
Rb1 0.039 0.250 0.159
Rb2 0.301 0.750 0.505
Rb3 0.699 0.250 0.495
Rb4 0.961 0.750 0.841
Zn1 0.500 0.000 0.000
Zn2 0.500 0.500 0.000
As1 0.295 0.250 0.775
As2 0.705 0.750 0.225

Summary:
For the energy of formation from the pure elements, the calculation gives -0.76 eV per formula unit. As for the total energy: -2.1545 eV per atom. As for the space-group type: P2_1/m, No. 11. Its polymorph energy (0 for the lowest one) is 0.0325 eV/atom.


No. 9
DFT (PBE-GGA) results for a relaxed RbZrAs2 crystal.

Cell: 7.242 7.242 7.242 Å, 90.00 90.00 90.00°
Positions (direct):
Rb1 0.000 0.000 0.000
Rb2 0.000 0.500 0.500
Rb3 0.500 0.000 0.500
Rb4 0.500 0.500 0.000
Zr1 0.000 0.000 0.500
Zr2 0.000 0.500 0.000
Zr3 0.500 0.000 0.000
Zr4 0.500 0.500 0.500
As1 0.250 0.250 0.250
As2 0.250 0.250 0.750
As3 0.250 0.750 0.250
As4 0.250 0.750 0.750
As5 0.750 0.250 0.250
As6 0.750 0.250 0.750
As7 0.750 0.750 0.250
As8 0.750 0.750 0.750

Summary:
For the energy of formation from the pure elements, the calculation gives 0.03 eV per formula unit. As for the total energy: -4.6950 eV per atom. As for the space-group type: Fm-3m, No. 225. Its polymorph energy (0 for the lowest one) is 0.6391 eV/atom.


No. 10
DFT (PBE-GGA) results for a relaxed RbZrAs2 crystal.

Cell: 4.054 4.054 23.958 Å, 90.00 90.00 120.00°
Positions (direct):
Rb1 0.000 0.000 0.000
Rb2 0.333 0.667 0.667
Rb3 0.667 0.333 0.333
Zr1 0.000 0.000 0.500
Zr2 0.333 0.667 0.167
Zr3 0.667 0.333 0.833
As1 0.000 0.000 0.227
As2 0.000 0.000 0.773
As3 0.333 0.667 0.440
As4 0.333 0.667 0.894
As5 0.667 0.333 0.106
As6 0.667 0.333 0.560

Summary:
For the energy of formation from the pure elements, the calculation gives -2.52 eV per formula unit. As for the total energy: -5.3341 eV per atom. As for the space-group type: R-3m, No. 166. Its polymorph energy (0 for the lowest one) is 0.0000 eV/atom.


No. 11
DFT (PBE-GGA) results for a relaxed Rb2ZrAs crystal.

Cell: 13.242 13.242 5.221 Å, 90.00 90.00 90.00°
Positions (direct):
Rb1 0.082 0.250 0.125
Rb2 0.250 0.582 0.375
Rb3 0.250 0.918 0.875
Rb4 0.418 0.250 0.625
Rb5 0.582 0.750 0.625
Rb6 0.750 0.082 0.875
Rb7 0.750 0.418 0.375
Rb8 0.918 0.750 0.125
Zr1 0.000 0.000 0.500
Zr2 0.000 0.500 0.750
Zr3 0.500 0.000 0.250
Zr4 0.500 0.500 0.000
As1 0.000 0.000 0.000
As2 0.000 0.500 0.250
As3 0.500 0.000 0.750
As4 0.500 0.500 0.500

Summary:
For the energy of formation from the pure elements, the calculation gives 0.84 eV per formula unit. As for the total energy: -3.5733 eV per atom. As for the space-group type: I-42d, No. 122.


No. 12
DFT (PBE-GGA) results for a relaxed Rb3ZrAs crystal.

Cell: 6.693 6.693 6.693 Å, 90.00 90.00 90.00°
Positions (direct):
Rb1 0.000 0.000 0.500
Rb2 0.000 0.500 0.000
Rb3 0.500 0.000 0.000
Zr1 0.500 0.500 0.500
As1 0.000 0.000 0.000

Summary:
For the energy of formation from the pure elements, the calculation gives 4.30 eV per formula unit. As for the total energy: -2.3598 eV per atom. As for the space-group type: Pm-3m, No. 221. Its polymorph energy (0 for the lowest one) is 0.0000 eV/atom.


No. 13
DFT (PBE-GGA) results for a relaxed Rb2ZrAs2 crystal.

Cell: 8.735 8.735 8.735 Å, 127.46 73.19 132.92°
Positions (direct):
Rb1 0.153 0.143 0.295
Rb2 0.347 0.643 0.990
Rb3 0.653 0.357 0.010
Rb4 0.847 0.857 0.705
Zr1 0.250 0.750 0.500
Zr2 0.750 0.250 0.500
As1 0.098 0.684 0.782
As2 0.402 0.184 0.587
As3 0.598 0.816 0.413
As4 0.902 0.316 0.218

Summary:
For the energy of formation from the pure elements, the calculation gives -3.39 eV per formula unit. As for the total energy: -4.6347 eV per atom. As for the space-group type: Ibam, No. 72. Its polymorph energy (0 for the lowest one) is 0.0000 eV/atom.


No. 14
DFT (PBE-GGA) results for a relaxed Rb2ZrAs2 crystal.

Cell: 7.176 7.176 5.990 Å, 90.00 90.00 90.00°
Positions (direct):
Rb1 0.170 0.330 0.000
Rb2 0.330 0.830 0.000
Rb3 0.670 0.170 0.000
Rb4 0.830 0.670 0.000
Zr1 0.000 0.000 0.500
Zr2 0.500 0.500 0.500
As1 0.136 0.636 0.500
As2 0.364 0.136 0.500
As3 0.636 0.864 0.500
As4 0.864 0.364 0.500

Summary:
For the energy of formation from the pure elements, the calculation gives -1.01 eV per formula unit. As for the total energy: -4.1587 eV per atom. As for the space-group type: P4/mbm, No. 127. Its polymorph energy (0 for the lowest one) is 0.4760 eV/atom.


No. 15
DFT (PBE-GGA) results for a relaxed RbZr2As crystal.

Cell: 5.334 5.334 19.505 Å, 90.00 90.00 90.00°
Positions (direct):
Rb1 0.000 0.000 0.000
Rb2 0.000 0.500 0.250
Rb3 0.500 0.000 0.750
Rb4 0.500 0.500 0.500
Zr1 0.008 0.250 0.625
Zr2 0.250 0.508 0.875
Zr3 0.250 0.992 0.375
Zr4 0.492 0.250 0.125
Zr5 0.508 0.750 0.125
Zr6 0.750 0.008 0.375
Zr7 0.750 0.492 0.875
Zr8 0.992 0.750 0.625
As1 0.000 0.000 0.500
As2 0.000 0.500 0.750
As3 0.500 0.000 0.250
As4 0.500 0.500 0.000

Summary:
For the energy of formation from the pure elements, the calculation gives 1.76 eV per formula unit. As for the total energy: -5.2396 eV per atom. As for the space-group type: I-42d, No. 122.


No. 16
DFT (PBE-GGA) results for a relaxed RbZr3As crystal.

Cell: 5.031 5.031 5.031 Å, 90.00 90.00 90.00°
Positions (direct):
Rb1 0.000 0.000 0.000
Zr1 0.000 0.000 0.500
Zr2 0.000 0.500 0.000
Zr3 0.500 0.000 0.000
As1 0.500 0.500 0.500

Summary:
For the energy of formation from the pure elements, the calculation gives 10.21 eV per formula unit. As for the total energy: -4.2106 eV per atom. As for the space-group type: Pm-3m, No. 221. Its polymorph energy (0 for the lowest one) is 1.5622 eV/atom.


No. 17
DFT (PBE-GGA) results for a relaxed RbZr3As crystal.

Cell: 5.248 5.248 5.248 Å, 90.00 90.00 90.00°
Positions (direct):
Rb1 0.000 0.000 0.000
Zr1 0.000 0.500 0.500
Zr2 0.500 0.000 0.500
Zr3 0.500 0.500 0.000
As1 0.500 0.500 0.500

Summary:
For the energy of formation from the pure elements, the calculation gives 2.40 eV per formula unit. As for the total energy: -5.7728 eV per atom. As for the space-group type: Pm-3m, No. 221. Its polymorph energy (0 for the lowest one) is 0.0000 eV/atom.


No. 18
DFT (PBE-GGA) results for a relaxed RbZrAs2 crystal.

Cell: 6.455 6.455 15.838 Å, 90.00 90.00 90.00°
Positions (direct):
Rb1 0.000 0.000 0.000
Rb2 0.000 0.500 0.250
Rb3 0.500 0.000 0.750
Rb4 0.500 0.500 0.500
Zr1 0.000 0.000 0.500
Zr2 0.000 0.500 0.750
Zr3 0.500 0.000 0.250
Zr4 0.500 0.500 0.000
As1 0.007 0.250 0.625
As2 0.250 0.507 0.875
As3 0.250 0.993 0.375
As4 0.493 0.250 0.125
As5 0.507 0.750 0.125
As6 0.750 0.007 0.375
As7 0.750 0.493 0.875
As8 0.993 0.750 0.625

Summary:
For the energy of formation from the pure elements, the calculation gives -1.59 eV per formula unit. As for the total energy: -5.1001 eV per atom. As for the space-group type: I-42d, No. 122. Its polymorph energy (0 for the lowest one) is 0.2340 eV/atom.


No. 19
DFT (PBE-GGA) results for a relaxed ReAs2 crystal.

Cell: 11.189 3.188 7.556 Å, 90.00 123.22 90.00°
Positions (direct):
Re1 0.108 0.000 0.450
Re2 0.392 0.500 0.550
Re3 0.608 0.500 0.450
Re4 0.892 0.000 0.550
As1 0.107 0.500 0.742
As2 0.138 0.500 0.215
As3 0.362 0.000 0.785
As4 0.393 0.000 0.258
As5 0.607 0.000 0.742
As6 0.638 0.000 0.215
As7 0.862 0.500 0.785
As8 0.893 0.500 0.258

Summary:
For the energy of formation from the pure elements, the calculation gives 0.17 eV per formula unit. As for the total energy: -7.1911 eV per atom. As for the space-group type: C2/m, No. 12.


No. 20
DFT (PBE-GGA) results for a relaxed ReAs2 crystal.

Cell: 8.835 3.157 7.616 Å, 90.00 93.57 90.00°
Positions (direct):
Re1 0.000 0.000 0.000
Re2 0.219 0.500 0.264
Re3 0.500 0.500 0.000
Re4 0.719 0.000 0.264
As1 0.006 0.000 0.339
As2 0.028 0.500 0.737
As3 0.259 0.000 0.547
As4 0.281 0.000 0.999
As5 0.506 0.500 0.339
As6 0.528 0.000 0.737
As7 0.759 0.500 0.547
As8 0.781 0.500 0.999

Summary:
For the energy of formation from the pure elements, the calculation gives 0.46 eV per formula unit. As for the total energy: -7.0957 eV per atom. As for the space-group type: Cm, No. 8.


No. 21
DFT (PBE-GGA) results for a relaxed Re3As2 crystal.

Cell: 6.113 6.069 7.765 Å, 50.66 50.15 79.20°
Positions (direct):
Re1 0.000 0.000 0.000
Re2 0.250 0.250 0.250
Re3 0.463 0.470 0.704
Re4 0.470 0.463 0.363
Re5 0.546 0.887 0.787
Re6 0.887 0.546 0.780
As1 0.023 0.563 0.374
As2 0.209 0.876 0.687
As3 0.563 0.023 0.041
As4 0.876 0.209 0.227

Summary:
For the energy of formation from the pure elements, the calculation gives 1.77 eV per formula unit. As for the total energy: -8.9742 eV per atom. As for the space-group type: Fdd2, No. 43. Its polymorph energy (0 for the lowest one) is 0.0727 eV/atom.


No. 22
DFT (PBE-GGA) results for a relaxed ReAs5 crystal.

Cell: 12.826 3.104 7.826 Å, 90.00 110.38 90.00°
Positions (direct):
Re1 0.000 0.000 0.000
Re2 0.500 0.500 0.000
As1 0.009 0.000 0.333
As2 0.079 0.500 0.812
As3 0.143 0.500 0.234
As4 0.339 0.000 0.979
As5 0.372 0.000 0.682
As6 0.509 0.500 0.333
As7 0.579 0.000 0.812
As8 0.643 0.000 0.234
As9 0.839 0.500 0.979
As10 0.872 0.500 0.682

Summary:
For the energy of formation from the pure elements, the calculation gives 0.82 eV per formula unit. As for the total energy: -5.8126 eV per atom. As for the space-group type: Cm, No. 8. Its polymorph energy (0 for the lowest one) is 0.0000 eV/atom.


No. 23
DFT (PBE-GGA) results for a relaxed ReAs2 crystal.

Cell: 5.860 5.860 5.814 Å, 90.00 90.00 90.00°
Positions (direct):
Re1 0.000 0.000 0.250
Re2 0.000 0.000 0.750
Re3 0.500 0.500 0.250
Re4 0.500 0.500 0.750
As1 0.154 0.346 0.000
As2 0.154 0.654 0.500
As3 0.346 0.154 0.500
As4 0.346 0.846 0.000
As5 0.654 0.154 0.000
As6 0.654 0.846 0.500
As7 0.846 0.346 0.500
As8 0.846 0.654 0.000

Summary:
For the energy of formation from the pure elements, the calculation gives 0.59 eV per formula unit. As for the total energy: -7.0513 eV per atom. As for the space-group type: I4/mcm, No. 140.


No. 24
DFT (PBE-GGA) results for a relaxed ReAs2 crystal.

Cell: 8.872 3.598 7.542 Å, 90.00 120.88 90.00°
Positions (direct):
Re1 0.150 0.000 0.202
Re2 0.350 0.500 0.798
Re3 0.650 0.500 0.202
Re4 0.850 0.000 0.798
As1 0.095 0.500 0.894
As2 0.153 0.000 0.544
As3 0.347 0.500 0.456
As4 0.405 0.000 0.106
As5 0.595 0.000 0.894
As6 0.653 0.500 0.544
As7 0.847 0.000 0.456
As8 0.905 0.500 0.106

Summary:
For the energy of formation from the pure elements, the calculation gives 0.19 eV per formula unit. As for the total energy: -7.1860 eV per atom. As for the space-group type: C2/m, No. 12.


No. 25
DFT (PBE-GGA) results for a relaxed ReAs2 crystal.

Cell: 3.067 5.542 7.217 Å, 81.20 78.31 83.87°
Positions (direct):
Re1 0.185 0.221 0.002
Re2 0.815 0.779 0.998
As1 0.155 0.870 0.273
As2 0.412 0.617 0.752
As3 0.588 0.383 0.248
As4 0.845 0.130 0.727

Summary:
For the energy of formation from the pure elements, the calculation gives 0.18 eV per formula unit. As for the total energy: -7.1904 eV per atom. As for the space-group type: P-1, No. 2.